(1)
! GGA-PBE Hg2IrCN, optimized geometry; values from VASP
! E_form (uncorrected)	1.899	eV/atom
! volume	18.7	A^3/atom
! crystal system	tetragonal
&SYSTEM
  ibrav = 0, nat = 5, ntyp = 4
/
ATOMIC_SPECIES
Hg 200.59 Hg.upf
Ir 192.22 Ir.upf
C 12.01 C.upf
N 14.01 N.upf
ATOMIC_POSITIONS angstrom
Hg 0.000 2.514 0.000
Hg 2.514 0.000 0.000
Ir 0.000 0.000 1.853
C 2.514 2.514 1.853
N 0.000 0.000 0.000
CELL_PARAMETERS angstrom
5.029 0.000 0.000
0.000 5.029 0.000
0.000 0.000 3.706

(2)
! GGA-PBE NbHgIr2C, optimized geometry; values from VASP
! DFT formation energy	3528	meV per atom
! volume	24.2	A^3/atom
! crystal system	tetragonal
&SYSTEM
  ibrav = 0, nat = 5, ntyp = 4
/
ATOMIC_SPECIES
Nb 92.91 Nb.upf
Hg 200.59 Hg.upf
Ir 192.22 Ir.upf
C 12.01 C.upf
ATOMIC_POSITIONS angstrom
Nb 0.000 0.000 0.000
Hg 0.000 0.000 2.515
Ir 0.000 2.454 2.515
Ir 2.454 0.000 2.515
C 2.454 2.454 0.000
CELL_PARAMETERS angstrom
4.908 0.000 0.000
0.000 4.908 0.000
0.000 0.000 5.030

(3)
! GGA-PBE Nd2HgIrC, optimized geometry; values from VASP
! DFT formation energy	-474	meV per atom
! volume	22.1	A^3/atom
! crystal system	tetragonal
&SYSTEM
  ibrav = 0, nat = 5, ntyp = 4
/
ATOMIC_SPECIES
Nd 144.24 Nd.upf
Hg 200.59 Hg.upf
Ir 192.22 Ir.upf
C 12.01 C.upf
ATOMIC_POSITIONS angstrom
Nd 0.000 2.665 0.000
Nd 2.665 0.000 0.000
Hg 0.000 0.000 1.947
Ir 2.665 2.665 1.947
C 2.665 2.665 0.000
CELL_PARAMETERS angstrom
5.329 0.000 0.000
0.000 5.329 0.000
0.000 0.000 3.893

(4)
! GGA-PBE HgIrC2O8, optimized geometry; values from VASP
! E_form (uncorrected)	-0.643	eV/atom
! volume	11.5	A^3/atom
! crystal system	monoclinic
&SYSTEM
  ibrav = 0, nat = 12, ntyp = 4
/
ATOMIC_SPECIES
Hg 200.59 Hg.upf
Ir 192.22 Ir.upf
C 12.01 C.upf
O 16.00 O.upf
ATOMIC_POSITIONS angstrom
Hg 0.000 0.000 0.000
Ir -0.277 0.000 3.594
C 2.429 0.000 2.122
C 4.772 0.000 5.066
O 3.333 1.133 2.198
O 1.643 0.000 3.249
O 1.939 0.000 0.883
O 3.867 1.133 4.990
O 3.333 -1.133 2.198
O 5.261 0.000 6.305
O 5.557 0.000 3.939
O 3.867 -1.133 4.990
CELL_PARAMETERS angstrom
3.877 -2.477 0.000
3.877 2.477 0.000
-0.555 0.000 7.188

(5)
! GGA-PBE HgIrOsC2, optimized geometry; values from VASP
! DFT formation energy	3565	meV per atom
! volume	17.3	A^3/atom
! crystal system	tetragonal
&SYSTEM
  ibrav = 0, nat = 5, ntyp = 4
/
ATOMIC_SPECIES
Hg 200.59 Hg.upf
Ir 192.22 Ir.upf
Os 190.23 Os.upf
C 12.01 C.upf
ATOMIC_POSITIONS angstrom
Hg 0.000 0.000 0.000
Ir 0.000 0.000 2.679
Os 2.008 2.008 2.679
C 0.000 2.008 0.000
C 2.008 0.000 0.000
CELL_PARAMETERS angstrom
4.016 0.000 0.000
0.000 4.016 0.000
0.000 0.000 5.359

(6)
! GGA-PBE Hg2PIrC, optimized geometry; values from VASP
! DFT formation energy	475	meV per atom
! offset from the most stable computed form	0.21	eV/f.u.
! volume	21.1	A^3/atom
! crystal system	triclinic
&SYSTEM
  ibrav = 0, nat = 5, ntyp = 4
/
ATOMIC_SPECIES
Hg 200.59 Hg.upf
P 30.97 P.upf
Ir 192.22 Ir.upf
C 12.01 C.upf
ATOMIC_POSITIONS angstrom
Hg 0.000 0.000 0.000
Hg -0.045 2.174 4.339
P 2.114 1.569 1.988
Ir -0.015 2.489 1.583
C 2.118 -0.107 1.886
CELL_PARAMETERS angstrom
4.259 0.000 0.000
-2.129 4.425 0.000
-0.055 -0.550 5.599

(7)
! GGA-PBE Hg2PIrC, optimized geometry; values from VASP
! DFT formation energy	452	meV per atom
! offset from the most stable computed form	0.10	eV/f.u.
! volume	19.0	A^3/atom
! crystal system	monoclinic
&SYSTEM
  ibrav = 0, nat = 5, ntyp = 4
/
ATOMIC_SPECIES
Hg 200.59 Hg.upf
P 30.97 P.upf
Ir 192.22 Ir.upf
C 12.01 C.upf
ATOMIC_POSITIONS angstrom
Hg 0.000 0.000 0.000
Hg -0.010 0.000 4.906
P 4.539 0.000 2.125
Ir 6.469 0.000 3.416
C 2.895 0.000 2.881
CELL_PARAMETERS angstrom
4.529 -1.641 0.000
4.529 1.641 0.000
-2.425 0.000 6.388

(8)
! GGA-PBE Hg2PIrC, optimized geometry; values from VASP
! DFT formation energy	432	meV per atom
! offset from the most stable computed form	0.00	eV/f.u.
! volume	20.7	A^3/atom
! crystal system	triclinic
&SYSTEM
  ibrav = 0, nat = 5, ntyp = 4
/
ATOMIC_SPECIES
Hg 200.59 Hg.upf
P 30.97 P.upf
Ir 192.22 Ir.upf
C 12.01 C.upf
ATOMIC_POSITIONS angstrom
Hg 0.000 0.000 0.000
Hg 1.414 2.456 1.570
P 2.851 5.075 3.947
Ir 1.418 2.086 4.605
C 2.850 3.468 4.578
CELL_PARAMETERS angstrom
2.863 0.000 0.000
0.002 4.833 0.000
1.426 1.809 7.486